# 1
The following is a PBE calculation of BeNb2Ga after structural relaxation, from the Alexandria database.

Cell lengths 3.4221, 3.4221, 6.6185 Å; angles 75.02, 75.02, 60.00 degrees
With the nearest neighbours (Å) after each atom.
Fractional positions:
Be 0.0000 0.0000 0.0000  6 Nb 2.40
Nb 0.2613 0.2613 0.2162  3 Be 2.40, 3 Ga 2.67
Nb 0.7387 0.7387 0.7838  3 Be 2.40, 3 Ga 2.67
Ga 0.5000 0.5000 0.5000  6 Nb 2.67

Properties
Formation enthalpy at 0 K (meV per atom): 111
Polymorph energy (0 for the lowest one) (meV per atom): 283.7
Calculated total energy (eV for the cell shown): -26.448
Space group: R-3m, No. 166


# 2
The following is a PBE calculation of La2MgGa12 after structural relaxation, from the Alexandria database.

Cell lengths 6.0035, 6.0035, 17.4780 Å; angles 90.00, 90.00, 90.00 degrees
With the nearest neighbours (Å) after each atom.
Fractional positions:
La 0.5000 0.0000 0.2745  14 Ga 3.21-3.55
La 0.0000 0.5000 0.2745  14 Ga 3.21-3.55
La 0.0000 0.5000 0.7255  14 Ga 3.21-3.55
La 0.5000 0.0000 0.7255  14 Ga 3.21-3.55
Mg 0.5000 0.0000 0.0000  8 Ga 2.88-2.90
Mg 0.0000 0.5000 0.0000  8 Ga 2.88-2.90
Ga 0.5000 0.5000 0.7957  5 Ga 2.54-2.66
Ga 0.0000 0.0000 0.7957  5 Ga 2.54-2.66
Ga 0.7510 0.7490 0.8878  2 Ga 2.66, 2 Mg 2.88-2.90
Ga 0.2510 0.7510 0.8878  2 Ga 2.66, 2 Mg 2.88-2.90
Ga 0.0000 0.0000 0.3495  5 Ga 2.54-2.63
Ga 0.2490 0.7490 0.1122  2 Ga 2.66, 2 Mg 2.88-2.90
Ga 0.8105 0.3105 0.5665  3 Ga 2.54-2.63
Ga 0.5000 0.5000 0.3495  5 Ga 2.54-2.63
Ga 0.2490 0.2510 0.8878  2 Ga 2.66, 2 Mg 2.88-2.90
Ga 0.7490 0.7510 0.1122  2 Ga 2.66, 2 Mg 2.88-2.90
Ga 0.3105 0.1895 0.5665  3 Ga 2.54-2.63
Ga 0.6895 0.1895 0.4335  3 Ga 2.54-2.63
Ga 0.0000 0.0000 0.6505  5 Ga 2.54-2.63
Ga 0.1895 0.3105 0.4335  3 Ga 2.54-2.63
Ga 0.2510 0.2490 0.1122  2 Ga 2.66, 2 Mg 2.88-2.90
Ga 0.8105 0.6895 0.4335  3 Ga 2.54-2.63
Ga 0.6895 0.8105 0.5665  3 Ga 2.54-2.63
Ga 0.0000 0.0000 0.2043  5 Ga 2.54-2.66
Ga 0.1895 0.6895 0.5665  3 Ga 2.54-2.63
Ga 0.5000 0.5000 0.6505  5 Ga 2.54-2.63
Ga 0.7490 0.2490 0.8878  2 Ga 2.66, 2 Mg 2.88-2.90
Ga 0.5000 0.5000 0.2043  5 Ga 2.54-2.66
Ga 0.3105 0.8105 0.4335  3 Ga 2.54-2.63
Ga 0.7510 0.2510 0.1122  2 Ga 2.66, 2 Mg 2.88-2.90

Properties
Formation enthalpy at 0 K (meV per atom): -327
Calculated total energy (eV for the cell shown): -105.350
Space group: P4/nbm, No. 125


# 3
The following is a PBE calculation of PuMgIr after structural relaxation, from the Alexandria database.

Cell lengths 4.1051, 7.1913, 12.5219 Å; angles 90.40, 90.00, 90.00 degrees
With the nearest neighbours (Å) after each atom.
Fractional positions:
Pu 0.7500 0.5338 0.3811  5 Ir 2.90-3.08
Pu 0.2500 0.9628 0.7181  5 Ir 2.92-3.04, 2 Mg 3.22
Pu 0.7500 0.0372 0.2819  5 Ir 2.92-3.04, 2 Mg 3.22
Pu 0.7500 0.6580 0.0841  5 Ir 2.88-2.99
Pu 0.2500 0.4662 0.6189  5 Ir 2.90-3.08
Pu 0.2500 0.3420 0.9159  5 Ir 2.88-2.99
Mg 0.2500 0.0048 0.0842  4 Ir 2.75, 3 Mg 2.94-3.02
Mg 0.2500 0.8650 0.4605  4 Ir 2.75-2.87, 2 Mg 2.99
Mg 0.7500 0.6267 0.7984  4 Ir 2.71-2.80, 1 Mg 3.02
Mg 0.7500 0.1350 0.5395  4 Ir 2.75-2.87, 2 Mg 2.99
Mg 0.2500 0.3733 0.2016  4 Ir 2.71-2.80, 1 Mg 3.02
Mg 0.7500 0.9952 0.9158  4 Ir 2.75, 3 Mg 2.94-3.02
Ir 0.2500 0.7420 0.9235  5 Mg 2.71-2.75, 4 Pu 2.88-3.03
Ir 0.7500 0.2457 0.7514  3 Mg 2.75-2.80, 4 Pu 2.92-2.99
Ir 0.7500 0.7459 0.5892  4 Mg 2.75-2.87, 5 Pu 2.90-3.04
Ir 0.7500 0.2580 0.0765  5 Mg 2.71-2.75, 4 Pu 2.88-3.03
Ir 0.2500 0.2541 0.4108  4 Mg 2.75-2.87, 5 Pu 2.90-3.04
Ir 0.2500 0.7543 0.2486  3 Mg 2.75-2.80, 4 Pu 2.92-2.99

Properties
Formation enthalpy at 0 K (meV per atom): -406
Calculated total energy (eV for the cell shown): -156.040
Space group: P2_1/m, No. 11


# 4
The following is a PBE calculation of CaPm8Pr3 after structural relaxation, from the Alexandria database.

Cell lengths 3.6287, 12.2764, 15.5130 Å; angles 43.15, 90.02, 107.20 degrees
With the nearest neighbours (Å) after each atom.
Fractional positions:
Ca 0.7164 0.9638 0.4975  6 Pm 3.52-3.87, 2 Ca 3.63, 2 Pr 3.70
Pm 0.3522 0.6002 0.8483  1 Ca 3.52, 3 Pr 3.56-3.60, 6 Pm 3.62-3.88
Pm 0.2633 0.0113 0.7035  3 Pr 3.57-3.74, 8 Pm 3.63-3.88
Pm 0.8843 0.1322 0.8379  9 Pm 3.51-3.77, 3 Pr 3.61-3.65
Pm 0.2044 0.4516 0.4896  10 Pm 3.51-3.85, 2 Pr 3.61
Pm 0.8130 0.5600 0.6321  1 Pr 3.52, 8 Pm 3.63-3.79, 2 Ca 3.87
Pm 0.0434 0.7915 0.1670  4 Pr 3.45-3.73, 8 Pm 3.63-3.76
Pm 0.5484 0.2960 0.1605  4 Pr 3.43-3.69, 6 Pm 3.62-3.76, 2 Ca 3.83
Pm 0.6531 0.9006 0.3003  9 Pm 3.57-3.79, 1 Ca 3.66, 2 Pr 3.66
Pr 0.4779 0.2258 0.9827  9 Pm 3.43-3.66, 2 Pr 3.63
Pr 0.6116 0.3586 0.3472  5 Pm 3.45-3.61, 4 Pr 3.63-3.66, 2 Ca 3.70
Pr 0.4303 0.6780 0.0297  8 Pm 3.56-3.74, 4 Pr 3.63-3.66

Properties
Formation enthalpy at 0 K (meV per atom): 50
Calculated total energy (eV for the cell shown): -53.746
Space group: Pm, No. 6


# 5
The following is a PBE calculation of Sb2TeAuSe after structural relaxation, from the Alexandria database.

Cell lengths 5.4441, 5.4441, 5.3469 Å; angles 90.00, 90.00, 90.00 degrees
With the nearest neighbours (Å) after each atom.
Fractional positions:
Sb 0.0000 0.5000 0.0000  2 Se 2.72
Sb 0.5000 0.0000 0.0000  2 Se 2.72
Te 0.0000 0.0000 0.5000  2 Se 2.67
Au 0.5000 0.5000 0.5000  8 Sb 3.82, 4 Te 3.85
Se 0.0000 0.0000 0.0000  2 Te 2.67, 4 Sb 2.72

Properties
Polymorph energy (0 for the lowest one) (meV per atom): 127.8
Energy relative to the elements, uncorrected (eV/atom): 0.8032
Calculated total energy (eV for the cell shown): -14.132
Space group: P4/mmm, No. 123


# 6
The following is a PBE calculation of Ag4PtPb after structural relaxation, from the Alexandria database.

Cell lengths 5.5195, 5.5195, 5.5195 Å; angles 60.00, 60.00, 60.00 degrees
With the nearest neighbours (Å) after each atom.
Fractional positions:
Ag 0.8764 0.3745 0.3745  6 Ag 2.75-2.77
Ag 0.3745 0.3745 0.8764  6 Ag 2.75-2.77
Ag 0.3745 0.8764 0.3745  6 Ag 2.75-2.77
Ag 0.3745 0.3745 0.3745  6 Ag 2.75-2.77
Pt 0.0000 0.0000 0.0000  12 Ag 3.24, 4 Pb 3.38
Pb 0.7500 0.7500 0.7500  12 Ag 3.24, 4 Pt 3.38

Properties
Formation enthalpy at 0 K (meV per atom): 194
Calculated total energy (eV for the cell shown): -19.993
Space group: F-43m, No. 216